Entry 1:
DFT (GGA-PBEsol) results for crystalline ZnRuO2F at its relaxed geometry.

Structure (extended XYZ):
```
5
Lattice="-0.4945 -2.3224 -2.9350 0.9000 -2.9474 2.1806 -4.0459 -0.4612 1.0465" Properties=species:S:1:pos:R:3 pbc="T T T"
O -0.2472 -1.1612 -1.4675
Ru 0.0000 0.0000 0.0000
Zn -1.8202 -2.8655 0.1461
O 0.4500 -1.4737 1.0903
F -2.0229 -0.2306 0.5233
```

Values from the calculation:
M_tot in μB/atom: 0.00
Raw total energy in eV/atom: -5.5262
Uncorrected formation energy in eV/atom: -0.69

***

Entry 2:
DFT (GGA-PBEsol) results for crystalline S2O5F2 at its relaxed geometry.

Structure (extended XYZ):
```
36
Lattice="-5.5631 5.1300 1.0494 -2.1830 -0.8805 -7.2681 -5.9978 -7.0473 2.6552" Properties=species:S:1:pos:R:3 pbc="T T T"
O -4.5375 -1.4141 -5.5942
F -7.9205 -0.3384 1.6969
F -4.3616 2.1895 -1.0086
S -7.3898 -1.6538 1.0496
S -8.0704 1.1664 -2.3579
O -1.7742 1.4062 0.1839
F -4.4264 0.8355 -4.7488
F -3.5121 -2.6647 -0.5841
O -6.0981 2.2685 0.6546
S -4.7046 2.4275 0.4936
O -6.1297 2.6577 -6.3327
O -7.7208 -1.6382 -3.8749
O -5.1948 -2.8443 -2.2890
F -6.8654 -3.6838 -4.7991
O -6.1809 -1.3452 0.3813
O -7.5794 -7.4603 -2.4730
O -12.0044 -2.1993 1.4949
F -7.7942 -5.4844 -0.2868
O -7.0736 -2.4782 2.4248
F -10.9054 -3.1364 -1.0828
O -4.0270 -0.6675 -1.8227
O -2.7972 -2.4444 -2.8789
F -9.1898 1.0912 -3.4406
S -6.3462 -5.9935 -0.0127
O -5.6312 -4.9563 0.6246
O -11.2209 -1.4938 -2.8120
O -6.8274 1.2648 -3.0199
O -5.7961 -5.9681 -1.5513
O -8.4884 -2.3374 0.4847
O -4.0747 1.0455 1.0972
O -8.3911 0.2320 -1.3444
S -4.0660 -2.0756 -1.9172
S -4.6489 -0.0667 -6.0007
S -7.9614 -3.0328 -3.9014
O -8.1449 -3.8556 -2.7690
S -11.7880 -1.9630 -1.6072
```

Values from the calculation:
M_tot in μB/atom: 0.00
Raw total energy in eV/atom: -5.6820
Uncorrected formation energy in eV/atom: -1.36

***

Entry 3:
DFT (GGA-PBEsol) results for crystalline ScSOF2 at its relaxed geometry.

Structure (extended XYZ):
```
5
Lattice="-1.0745 -2.1470 2.4107 4.2155 -0.0245 1.8570 -1.1545 3.5734 2.6679" Properties=species:S:1:pos:R:3 pbc="T T T"
S 0.0000 0.0000 0.0000
Sc 0.9932 0.7009 3.4678
F -0.5773 1.7867 1.3339
O -0.5372 -1.0735 1.2054
F 2.1077 -0.0122 0.9285
```

Values from the calculation:
M_tot in μB/atom: 0.07
Raw total energy in eV/atom: -4.9278
Uncorrected formation energy in eV/atom: -0.91

***

Entry 4:
DFT (GGA-PBEsol) results for crystalline ScSO2F at its relaxed geometry.

Structure (extended XYZ):
```
5
Lattice="3.8589 0.0000 0.0000 0.0000 4.1131 0.0000 0.0000 0.0000 4.1131" Properties=species:S:1:pos:R:3 pbc="T T T"
Sc 0.0000 0.0000 0.0000
O 0.0000 2.0565 0.0000
S 1.9295 2.0565 2.0565
F 1.9295 0.0000 0.0000
O 0.0000 0.0000 2.0565
```

Values from the calculation:
M_tot in μB/atom: 0.00
Raw total energy in eV/atom: -6.0894
Uncorrected formation energy in eV/atom: -1.41

***

Entry 5:
DFT (GGA-PBEsol) results for crystalline Sm3SOF5 at its relaxed geometry.

Structure (extended XYZ):
```
20
Lattice="3.7271 0.0000 0.0000 0.0000 9.4567 0.0037 0.0000 -4.6914 8.2658" Properties=species:S:1:pos:R:3 pbc="T T T"
F 1.8636 1.8698 1.2274
S 1.8636 4.7771 2.7984
Sm 0.0000 6.9356 2.2607
F 0.0000 -0.2106 2.2656
O 0.0000 5.5828 0.4344
S 0.0000 -0.0150 5.5183
Sm 0.0000 3.8887 4.8400
F 0.0000 2.9220 6.9376
F 1.8636 2.4432 5.1780
F 0.0000 6.3527 4.6755
Sm 1.8636 1.4283 7.4052
F 0.0000 -2.6351 7.2653
F 1.8636 -0.9005 7.8681
F 1.8636 7.5351 0.9889
F 1.8636 4.9479 5.9162
O 0.0000 2.3084 3.2024
Sm 1.8636 0.8999 3.3396
Sm 0.0000 3.3136 1.0937
F 1.8636 -1.5970 3.5801
Sm 1.8636 -2.1931 5.8999
```

Values from the calculation:
M_tot in μB/atom: 0.00
Raw total energy in eV/atom: -7.2194
Uncorrected formation energy in eV/atom: -3.76

***

Entry 6:
DFT (GGA-PBEsol) results for crystalline SrSO2F at its relaxed geometry.

Structure (extended XYZ):
```
5
Lattice="-0.9760 2.6953 3.5552 -3.3363 -3.0925 1.4286 3.2506 -2.2919 2.6299" Properties=species:S:1:pos:R:3 pbc="T T T"
S -0.5308 -1.3446 3.8069
Sr 0.0000 0.0000 0.0000
F -0.4880 1.3476 1.7776
O 1.6253 -1.1459 1.3150
O -1.6681 -1.5463 0.7143
```

Values from the calculation:
M_tot in μB/atom: 1.00
Raw total energy in eV/atom: -4.0409
Uncorrected formation energy in eV/atom: -0.31